# 1
DFT (SCAN) results for a PBEsol-optimized structure of MoBrOF2.

```
data_MoBrOF2
_chemical_formula_sum 'Mo1 Br1 O1 F2'
_cell_length_a 3.9395
_cell_length_b 3.9395
_cell_length_c 5.2381
_cell_angle_alpha 90.00
_cell_angle_beta 90.00
_cell_angle_gamma 90.00
_symmetry_space_group_name_H-M 'P 1'
_symmetry_Int_Tables_number 1
loop_
_symmetry_equiv_pos_as_xyz
'x,y,z'
loop_
_atom_site_label
_atom_site_type_symbol
_atom_site_fract_x
_atom_site_fract_y
_atom_site_fract_z
_atom_site_occupancy
Mo1 Mo 0.0000 0.0000 0.5000 1
O1 O 0.5000 0.5000 0.5000 1
Br1 Br 0.0000 0.0000 0.0000 1
F1 F 0.0000 0.5000 0.0000 1
F2 F 0.5000 0.0000 0.0000 1
```

M_tot (μB per formula unit): 3.25
Uncorrected formation energy (eV per formula unit): 2.0
DFT total energy (eV per atom): -13.1291

***

# 2
DFT (SCAN) results for a PBEsol-optimized structure of ScAlSb2.

```
data_ScAlSb2
_chemical_formula_sum 'Sc1 Al1 Sb2'
_cell_length_a 5.0455
_cell_length_b 5.0455
_cell_length_c 5.0455
_cell_angle_alpha 60.00
_cell_angle_beta 60.00
_cell_angle_gamma 60.00
_symmetry_space_group_name_H-M 'P 1'
_symmetry_Int_Tables_number 1
loop_
_symmetry_equiv_pos_as_xyz
'x,y,z'
loop_
_atom_site_label
_atom_site_type_symbol
_atom_site_fract_x
_atom_site_fract_y
_atom_site_fract_z
_atom_site_occupancy
Sc1 Sc 0.5000 0.5000 0.5000 1
Sb1 Sb 0.2500 0.2500 0.2500 1
Sb2 Sb 0.7500 0.7500 0.7500 1
Al1 Al 0.0000 0.0000 0.0000 1
```

M_tot (μB per formula unit): 0.09
Uncorrected formation energy (eV per formula unit): -0.6
Excess energy over the best structure of this formula in the dataset (eV/atom): 0.0427
DFT total energy (eV per atom): -24.2690

***

Copy entry 2 word for word.
DFT (SCAN) results for a PBEsol-optimized structure of ScAlSb2.

```
data_ScAlSb2
_chemical_formula_sum 'Sc1 Al1 Sb2'
_cell_length_a 5.0455
_cell_length_b 5.0455
_cell_length_c 5.0455
_cell_angle_alpha 60.00
_cell_angle_beta 60.00
_cell_angle_gamma 60.00
_symmetry_space_group_name_H-M 'P 1'
_symmetry_Int_Tables_number 1
loop_
_symmetry_equiv_pos_as_xyz
'x,y,z'
loop_
_atom_site_label
_atom_site_type_symbol
_atom_site_fract_x
_atom_site_fract_y
_atom_site_fract_z
_atom_site_occupancy
Sc1 Sc 0.5000 0.5000 0.5000 1
Sb1 Sb 0.2500 0.2500 0.2500 1
Sb2 Sb 0.7500 0.7500 0.7500 1
Al1 Al 0.0000 0.0000 0.0000 1
```

M_tot (μB per formula unit): 0.09
Uncorrected formation energy (eV per formula unit): -0.6
Excess energy over the best structure of this formula in the dataset (eV/atom): 0.0427
DFT total energy (eV per atom): -24.2690

***

Which value of DFT total energy does entry 2 give? -24.2690 eV per atom

***

What is the formula in the second record? ScAlSb2